The following is a PBE-GGA calculation of a relaxed YPaMo2N6 crystal, from Alexandria via LeMat-Bulk.

a = 6.0066 Å, b = 7.1107 Å, c = 7.1107 Å
α = 82.66°, β = 77.61°, γ = 77.61°
Sites, in units of the cell vectors:
Y: 0.2500 0.9132 0.0868
Y: 0.7500 0.0868 0.9132
Pa: 0.2500 0.3172 0.6828
Pa: 0.7500 0.6828 0.3172
Mo: 0.2348 0.8013 0.6064
Mo: 0.2652 0.3936 0.1987
Mo: 0.7652 0.1987 0.3936
Mo: 0.7348 0.6064 0.8013
N: 0.1504 0.0050 0.7682
N: 0.3496 0.2318 0.9950
N: 0.8496 0.9950 0.2318
N: 0.6504 0.7682 0.0050
N: 0.3935 0.8758 0.3654
N: 0.1065 0.6346 0.1242
N: 0.6065 0.1242 0.6346
N: 0.8935 0.3654 0.8758
N: 0.9846 0.6700 0.5986
N: 0.5154 0.4014 0.3300
N: 0.0154 0.3300 0.4014
N: 0.4846 0.5986 0.6700

Values from the calculation:
Energy relative to the elements, uncorrected: -0.906 eV per atom